Computed, not measured: a geometry-optimized Cr2Ge3O8 structure at the PBE+U level of DFT.

Cell: 10.3974 5.8147 4.9976 Å, 90.00 103.16 90.00°
With the nearest neighbours (Å) after each atom.
Space group C2/m (No. 12)
Inequivalent atoms, fractional coordinates:
1 Cr 0.2230 0.0000 0.0818 (multiplicity 4)  5 O 2.11-2.26
2 Ge 0.0000 0.2366 0.5000 (multiplicity 4)  6 O 1.87-2.00
3 Ge 0.0000 0.5000 0.0000 (multiplicity 2)  6 O 1.89-1.95
4 O 0.0945 0.5000 0.3718 (multiplicity 4)  3 Ge 1.89-2.00
5 O 0.1029 0.0000 0.4060 (multiplicity 4)  2 Ge 1.87
6 O 0.1117 0.2753 0.8738 (multiplicity 8)  2 Ge 1.95-1.98, 2 Cr 2.11-2.13

Properties
As for the crystal system: monoclinic. As for the total magnetization: 16.0 μB/cell. The value obtained for the total energy is -178.9 eV per cell.